(1)
The following is a DFT calculation (SCAN) of a crystal of Ca2PRh relaxed with PBEsol.

The structure in POSCAR format:
```
Ca2PRh
1.0
-1.699 2.233 5.726
1.699 -2.233 5.726
1.699 2.233 -5.726
Ca P Rh
2 1 1
Direct
0.000 0.000 0.000
0.727 0.227 0.500
0.312 0.812 0.500
0.448 0.448 0.000
```

Values from the calculation:
* ρ: 4091 kg/m3
* total magnetic moment: 0.0 μB/f.u.
* calculated formation energy: -0.8037 eV/atom

(2)
The following is a DFT calculation (SCAN) of a crystal of Be2TeCl relaxed with PBEsol.

The structure in POSCAR format:
```
Be2TeCl
1.0
1.905 1.100 6.604
-1.905 1.100 6.604
0.000 -2.200 6.604
Be Te Cl
2 1 1
Direct
0.101 0.101 0.101
0.899 0.899 0.899
0.500 0.500 0.500
0.000 0.000 0.000
```

Values from the calculation:
* ρ: 3621 kg/m3
* total magnetic moment: 0.0 μB/f.u.

(3)
The following is a DFT calculation (SCAN) of a crystal of TePt2CCl relaxed with PBEsol.

The structure in POSCAR format:
```
TePt2CCl
1.0
5.023 0.000 0.000
0.000 5.023 0.000
0.000 0.000 4.144
Te Pt C Cl
1 2 1 1
Direct
0.000 0.000 0.000
0.000 0.500 0.000
0.500 0.000 0.000
0.000 0.000 0.500
0.500 0.500 0.500
```

Values from the calculation:
* ρ: 8978 kg/m3
* total magnetic moment: 0.9 μB/f.u.

(4)
The following is a DFT calculation (SCAN) of a crystal of Cu3Ni relaxed with PBEsol.

The structure in POSCAR format:
```
Cu3Ni
1.0
2.500 0.000 0.000
0.000 4.092 0.000
0.000 0.000 4.300
Cu Ni
3 1
Direct
0.000 0.000 0.000
0.000 0.500 0.336
0.500 0.000 0.505
0.500 0.500 0.837
```

Values from the calculation:
* ρ: 9411 kg/m3
* total magnetic moment: 0.0 μB/f.u.
* calculated formation energy: 0.0480 eV/atom

(5)
The following is a DFT calculation (SCAN) of a crystal of Mg2FeTc relaxed with PBEsol.

The structure in POSCAR format:
```
Mg2FeTc
1.0
0.000 3.124 3.124
3.124 0.000 3.124
3.124 3.124 0.000
Mg Fe Tc
2 1 1
Direct
0.250 0.250 0.250
0.750 0.750 0.750
0.000 0.000 0.000
0.500 0.500 0.500
```

Values from the calculation:
* ρ: 5511 kg/m3
* total magnetic moment: 4.4 μB/f.u.
* calculated formation energy: 0.3831 eV/atom

(6)
The following is a DFT calculation (SCAN) of a crystal of ZnMoW relaxed with PBEsol.

The structure in POSCAR format:
```
ZnMoW
1.0
-1.636 1.636 4.184
1.636 -1.636 4.184
1.636 1.636 -4.184
Zn Mo W
1 1 1
Direct
0.000 0.000 0.000
0.672 0.672 0.000
0.328 0.328 0.000
```

Values from the calculation:
* ρ: 12791 kg/m3
* total magnetic moment: 0.0 μB/f.u.
* calculated formation energy: 0.1554 eV/atom

no.,VASP energy (eV per atom)
1,-16.678
2,-13.618
3,-37.457
4,-15.395
5,-15.401
6,-39.207